## LuZrBi2 (PBE)

Data for an optimized crystal structure of LuZrBi2.

Values from the calculation:
- Total magnetization: 0.928 μB per formula unit
- VASP energy: -20.83 eV per formula unit

a = 5.3460 Å, b = 5.3460 Å, c = 5.3460 Å
α = 60.00°, β = 60.00°, γ = 60.00°
Closest atoms and distances in Å follow each position.
Fractional coordinates of all 4 atoms:
1 Bi 0.0000 0.0000 0.0000  4 Lu 3.27, 4 Bi 3.27
2 Bi 0.2500 0.2500 0.2500  4 Zr 3.27, 4 Bi 3.27
3 Zr 0.5000 0.5000 0.5000  4 Lu 3.27, 4 Bi 3.27
4 Lu 0.7500 0.7500 0.7500  4 Zr 3.27, 4 Bi 3.27


## Lu2ZrBi (PBE)

Data for an optimized crystal structure of Lu2ZrBi.

Values from the calculation:
- Total magnetization: 0.852 μB per formula unit
- VASP energy: -21.64 eV per formula unit

a = 5.2568 Å, b = 5.2568 Å, c = 5.2568 Å
α = 60.00°, β = 60.00°, γ = 60.00°
Closest atoms and distances in Å follow each position.
Fractional coordinates of all 4 atoms:
1 Zr 0.2500 0.2500 0.2500  4 Bi 3.22, 4 Lu 3.22
2 Bi 0.5000 0.5000 0.5000  4 Zr 3.22, 4 Lu 3.22
3 Lu 0.0000 0.0000 0.0000  4 Zr 3.22, 4 Lu 3.22
4 Lu 0.7500 0.7500 0.7500  4 Lu 3.22, 4 Bi 3.22


## Mg2BiMo (PBE)

Data for an optimized crystal structure of Mg2BiMo.

Values from the calculation:
- Total magnetization: 2.120 μB per formula unit
- VASP energy: -15.85 eV per formula unit

a = 4.9008 Å, b = 4.9008 Å, c = 4.9008 Å
α = 60.00°, β = 60.00°, γ = 60.00°
Closest atoms and distances in Å follow each position.
Fractional coordinates of all 4 atoms:
1 Mg 0.0000 0.0000 0.0000  4 Mg 3.00, 4 Mo 3.00
2 Mo 0.2500 0.2500 0.2500  4 Bi 3.00, 4 Mg 3.00
3 Bi 0.5000 0.5000 0.5000  4 Mg 3.00, 4 Mo 3.00
4 Mg 0.7500 0.7500 0.7500  4 Bi 3.00, 4 Mg 3.00


- Look up the total magnetization of the first one.
  0.928 μB per formula unit


- The highest total magnetization belongs to which entry?
  Mg2BiMo